# 1
Here is a geometry-optimized Rb3Th3InTe8 structure from Alexandria. Energies are from GGA-PBE.

The value obtained for the formation energy from raw total energies is -1.09 eV/atom. The total energy is -4.63 eV per atom.

The space group is R-3m (No. 166, hexagonal axes) and the conventional cell measures 9.3783, 9.3783 and 25.4172 Å, with angles of 90.00, 90.00 and 120.00 degrees. Symmetry generates all atoms from Rb at (0.0000, 0.5000, 0.0000), Th at (0.0000, 0.5000, 0.5000), In at (0.0000, 0.0000, 0.5000), Te at (0.0000, 0.0000, 0.2359) and Te at (0.0216, 0.5108, 0.7670).

# 2
Here is a geometry-optimized Rb2TiInTe structure from Alexandria. Energies are from GGA-PBE.

The value obtained for the formation energy from raw total energies is 0.70 eV/atom. The total energy is -2.44 eV per atom.

The space group is P4/mmm (No. 123) and the conventional cell measures 6.883, 6.883 and 6.069 Å, with angles of 90.00, 90.00 and 90.00 degrees. Symmetry generates all atoms from Rb at (0.000, 0.500, 0.000), Ti at (0.000, 0.000, 0.500), In at (0.500, 0.500, 0.500) and Te at (0.500, 0.500, 0.000).

# 3
Here is a geometry-optimized Rb2TiInTe5 structure from Alexandria. Energies are from GGA-PBE.

The value obtained for the formation energy from raw total energies is -0.64 eV/atom. The total energy is -3.78 eV per atom.

The space group is Cmc2_1 (No. 36) and the conventional cell measures 4.172, 21.954 and 15.544 Å, with angles of 90.00, 90.00 and 90.00 degrees. Symmetry generates all atoms from Rb at (0.000, 0.128, 0.000), Rb at (0.000, 0.137, 0.618), Ti at (0.000, 0.215, 0.316), In at (0.000, 0.432, 0.733), Te at (0.000, 0.077, 0.356), Te at (0.000, 0.297, 0.934), Te at (0.000, 0.303, 0.689), Te at (0.000, 0.332, 0.313) and Te at (0.000, 0.499, 0.585).